# CuPtBr2 | the Alexandria database | PBE | relaxed
data_CuPtBr2
_cell_length_a 3.348
_cell_length_b 3.346
_cell_length_c 6.835
_cell_angle_alpha 90.00
_cell_angle_beta 90.00
_cell_angle_gamma 90.00
_space_group_name_H-M_alt 'P 1'
_space_group_IT_number 1
loop_
_space_group_symop_operation_xyz
'x,y,z'
loop_
_atom_site_label
_atom_site_type_symbol
_atom_site_fract_x
_atom_site_fract_y
_atom_site_fract_z
_atom_site_occupancy
Br1 Br 0.000 0.000 0.491 1
Br2 Br 0.000 0.000 0.009 1
Cu1 Cu 0.500 0.500 0.250 1
Pt1 Pt 0.500 0.500 0.750 1
# Density of states at the Fermi level (states/eV/f.u.): 4.888
# Energy relative to the lowest polymorph listed for this composition (eV/atom): 0.5938
# Formation energy without anion corrections (eV per atom): 0.6374
# Crystal system: tetragonal

# Ba2LiPdAu | the Alexandria database | PBE | relaxed
data_Ba2LiPdAu
_cell_length_a 4.565
_cell_length_b 4.565
_cell_length_c 15.212
_cell_angle_alpha 90.00
_cell_angle_beta 90.00
_cell_angle_gamma 90.00
_space_group_name_H-M_alt 'P 1'
_space_group_IT_number 1
loop_
_space_group_symop_operation_xyz
'x,y,z'
loop_
_atom_site_label
_atom_site_type_symbol
_atom_site_fract_x
_atom_site_fract_y
_atom_site_fract_z
_atom_site_occupancy
Pd1 Pd 0.000 0.500 0.892 1
Pd2 Pd 0.500 0.000 0.108 1
Au1 Au 0.500 0.000 0.606 1
Au2 Au 0.000 0.500 0.394 1
Ba1 Ba 0.500 0.000 0.315 1
Ba2 Ba 0.500 0.000 0.894 1
Ba3 Ba 0.000 0.500 0.685 1
Ba4 Ba 0.000 0.500 0.106 1
Li1 Li 0.000 0.000 0.500 1
Li2 Li 0.500 0.500 0.500 1
# Density of states at the Fermi level (states/eV/f.u.): 1.767
# Energy relative to the lowest polymorph listed for this composition (eV/atom): 0.0000
# Crystal system: tetragonal
# Calculated formation energy (eV/atom): -0.506

# HfMgSe | the Alexandria database | PBE | relaxed
data_HfMgSe
_cell_length_a 5.338
_cell_length_b 3.492
_cell_length_c 7.213
_cell_angle_alpha 90.00
_cell_angle_beta 102.10
_cell_angle_gamma 90.00
_space_group_name_H-M_alt 'P 1'
_space_group_IT_number 1
loop_
_space_group_symop_operation_xyz
'x,y,z'
loop_
_atom_site_label
_atom_site_type_symbol
_atom_site_fract_x
_atom_site_fract_y
_atom_site_fract_z
_atom_site_occupancy
Hf1 Hf 0.759 0.750 0.022 1
Hf2 Hf 0.241 0.250 0.978 1
Se1 Se 0.654 0.250 0.293 1
Se2 Se 0.346 0.750 0.707 1
Mg1 Mg 0.747 0.250 0.672 1
Mg2 Mg 0.253 0.750 0.328 1
# Density of states at the Fermi level (states/eV/f.u.): 1.308
# Energy relative to the lowest polymorph listed for this composition (eV/atom): 0.0298
# Formation energy without anion corrections (eV per atom): -0.6163
# Crystal system: monoclinic

# La3Tb8Nd2 | the Alexandria database | PBE | relaxed
data_La3Tb8Nd2
_cell_length_a 6.271
_cell_length_b 8.094
_cell_length_c 9.600
_cell_angle_alpha 65.01
_cell_angle_beta 83.64
_cell_angle_gamma 82.54
_space_group_name_H-M_alt 'P 1'
_space_group_IT_number 1
loop_
_space_group_symop_operation_xyz
'x,y,z'
loop_
_atom_site_label
_atom_site_type_symbol
_atom_site_fract_x
_atom_site_fract_y
_atom_site_fract_z
_atom_site_occupancy
Tb1 Tb 0.847 0.310 0.614 1
Tb2 Tb 0.228 0.537 0.077 1
Tb3 Tb 0.922 0.157 0.309 1
Tb4 Tb 0.078 0.843 0.691 1
Tb5 Tb 0.772 0.463 0.923 1
Tb6 Tb 0.153 0.690 0.386 1
Tb7 Tb 0.309 0.388 0.767 1
Tb8 Tb 0.691 0.612 0.233 1
La1 La 0.540 0.922 0.846 1
La2 La 0.000 0.000 0.000 1
La3 La 0.460 0.078 0.154 1
Nd1 Nd 0.618 0.767 0.539 1
Nd2 Nd 0.382 0.233 0.461 1
# Density of states at the Fermi level (states/eV/f.u.): 19.714
# Energy relative to the lowest polymorph listed for this composition (eV/atom): 0.0000
# Crystal system: triclinic
# Calculated formation energy (eV/atom): 0.020

# Th3Fe | the Alexandria database | PBE | relaxed
data_Th3Fe
_cell_length_a 3.602
_cell_length_b 5.991
_cell_length_c 6.120
_cell_angle_alpha 119.31
_cell_angle_beta 107.12
_cell_angle_gamma 90.00
_space_group_name_H-M_alt 'P 1'
_space_group_IT_number 1
loop_
_space_group_symop_operation_xyz
'x,y,z'
loop_
_atom_site_label
_atom_site_type_symbol
_atom_site_fract_x
_atom_site_fract_y
_atom_site_fract_z
_atom_site_occupancy
Th1 Th 0.500 0.383 0.000 1
Th2 Th 0.686 0.050 0.372 1
Th3 Th 0.314 0.678 0.628 1
Fe1 Fe 0.000 0.056 0.000 1
# Density of states at the Fermi level (states/eV/f.u.): 5.564
# Crystal system: orthorhombic
# Calculated formation energy (eV/atom): 0.030

# HoThZnAu | the Alexandria database | PBE | relaxed
data_HoThZnAu
_cell_length_a 5.162
_cell_length_b 5.162
_cell_length_c 5.162
_cell_angle_alpha 60.00
_cell_angle_beta 60.00
_cell_angle_gamma 60.00
_space_group_name_H-M_alt 'P 1'
_space_group_IT_number 1
loop_
_space_group_symop_operation_xyz
'x,y,z'
loop_
_atom_site_label
_atom_site_type_symbol
_atom_site_fract_x
_atom_site_fract_y
_atom_site_fract_z
_atom_site_occupancy
Au1 Au 0.500 0.500 0.500 1
Zn1 Zn 0.000 0.000 0.000 1
Ho1 Ho 0.250 0.250 0.250 1
Th1 Th 0.750 0.750 0.750 1
# Density of states at the Fermi level (states/eV/f.u.): 4.361
# Energy relative to the lowest polymorph listed for this composition (eV/atom): 0.0474
# Crystal system: cubic
# Calculated formation energy (eV/atom): -0.435

# Mg5Sb2P | the Alexandria database | PBE | relaxed
data_Mg5Sb2P
_cell_length_a 4.563
_cell_length_b 9.622
_cell_length_c 19.194
_cell_angle_alpha 90.00
_cell_angle_beta 90.00
_cell_angle_gamma 90.00
_space_group_name_H-M_alt 'P 1'
_space_group_IT_number 1
loop_
_space_group_symop_operation_xyz
'x,y,z'
loop_
_atom_site_label
_atom_site_type_symbol
_atom_site_fract_x
_atom_site_fract_y
_atom_site_fract_z
_atom_site_occupancy
Mg1 Mg 0.750 0.609 0.985 1
Mg2 Mg 0.750 0.609 0.159 1
Mg3 Mg 0.250 0.891 0.659 1
Mg4 Mg 0.750 0.802 0.297 1
Mg5 Mg 0.250 0.877 0.170 1
Mg6 Mg 0.750 0.109 0.341 1
Mg7 Mg 0.750 0.146 0.021 1
Mg8 Mg 0.750 0.646 0.479 1
Mg9 Mg 0.250 0.354 0.521 1
Mg10 Mg 0.750 0.123 0.830 1
Mg11 Mg 0.250 0.391 0.015 1
Mg12 Mg 0.750 0.623 0.670 1
Mg13 Mg 0.250 0.377 0.330 1
Mg14 Mg 0.250 0.391 0.841 1
Mg15 Mg 0.250 0.698 0.797 1
Mg16 Mg 0.750 0.109 0.515 1
Mg17 Mg 0.750 0.302 0.203 1
Mg18 Mg 0.250 0.854 0.979 1
Mg19 Mg 0.250 0.891 0.485 1
Mg20 Mg 0.250 0.198 0.703 1
Sb1 Sb 0.250 0.137 0.926 1
Sb2 Sb 0.750 0.863 0.074 1
Sb3 Sb 0.750 0.875 0.752 1
Sb4 Sb 0.250 0.637 0.574 1
Sb5 Sb 0.250 0.125 0.248 1
Sb6 Sb 0.750 0.363 0.426 1
Sb7 Sb 0.750 0.375 0.748 1
Sb8 Sb 0.250 0.625 0.252 1
P1 P 0.750 0.895 0.425 1
P2 P 0.750 0.395 0.075 1
P3 P 0.250 0.605 0.925 1
P4 P 0.250 0.105 0.575 1
# Density of states at the Fermi level (states/eV/f.u.): 1.351
# Formation energy without anion corrections (eV per atom): -0.3662
# Crystal system: orthorhombic

# AlCu | the Alexandria database | PBE | relaxed
data_AlCu
_cell_length_a 4.074
_cell_length_b 5.148
_cell_length_c 5.258
_cell_angle_alpha 90.00
_cell_angle_beta 90.00
_cell_angle_gamma 90.00
_space_group_name_H-M_alt 'P 1'
_space_group_IT_number 1
loop_
_space_group_symop_operation_xyz
'x,y,z'
loop_
_atom_site_label
_atom_site_type_symbol
_atom_site_fract_x
_atom_site_fract_y
_atom_site_fract_z
_atom_site_occupancy
Al1 Al 0.750 0.867 0.149 1
Al2 Al 0.750 0.633 0.649 1
Al3 Al 0.250 0.133 0.851 1
Al4 Al 0.250 0.367 0.351 1
Cu1 Cu 0.250 0.850 0.460 1
Cu2 Cu 0.750 0.350 0.040 1
Cu3 Cu 0.750 0.150 0.540 1
Cu4 Cu 0.250 0.650 0.960 1
# Density of states at the Fermi level (states/eV/f.u.): 0.776
# Crystal system: orthorhombic
# Calculated formation energy (eV/atom): -0.198

Among the records above, which one has the lowest density of states at the Fermi level?
AlCu

Which formula does entry 7 have?
Mg5Sb2P

What is the formula in the first record?
CuPtBr2

Which of these has the lowest density of states at the Fermi level?
AlCu